VASP calculation (GGA-PBE) on a relaxed structure of CaTlCrMo2.

Lattice parameters (Å, degrees): 5.2159 5.2159 4.9069 90.00 90.00 90.00
Closest atoms and distances in Å follow each position.
Space group P4/mmm (No. 123)
Symmetry-distinct sites (fractional):
1 Ca 0.0000 0.0000 0.0000 [1 per cell]  8 Mo 3.58, 4 Cr 3.69
2 Tl 0.5000 0.5000 0.5000 [1 per cell]  2 Cr 2.45, 4 Mo 2.61
3 Cr 0.5000 0.5000 0.0000 [1 per cell]  2 Tl 2.45
4 Mo 0.0000 0.5000 0.5000 [2 per cell]  2 Tl 2.61

Values from the calculation:
Formation energy, eV/atom: 2.1695
M_tot, Bohr magnetons per cell: 5.56
Energy, eV per cell: -24.81